No. 1
Rb2InBBr6 (PBE, relaxed); crystal system = tetragonal; formation energy without anion corrections = -0.73 eV/atom; electronic total energy = -2.87 eV/atom; DOS at the Fermi energy = 0.000 states/eV/cell
1.0
-3.8121 3.8121 5.4762
3.8121 -3.8121 5.4762
3.8121 3.8121 -5.4762
Rb In B Br
2 1 1 6
direct
0.2500 0.7500 0.5000
0.7500 0.2500 0.5000
0.0000 0.0000 0.0000
0.5000 0.5000 0.0000
0.2773 0.2773 0.0000
0.2825 0.2825 0.5650
0.2825 0.7175 0.0000
0.7175 0.2825 0.0000
0.7175 0.7175 0.4350
0.7227 0.7227 0.0000

=====

No. 2
InReB2Br (PBE, relaxed); crystal system = tetragonal; formation energy without anion corrections = 0.88 eV/atom; electronic total energy = -5.16 eV/atom; DOS at the Fermi energy = 3.838 states/eV/cell
1.0
4.1690 0.0000 0.0000
0.0000 4.1690 0.0000
0.0000 0.0000 5.6715
In Re B Br
1 1 2 1
direct
0.0000 0.0000 0.0000
0.0000 0.0000 0.5000
0.0000 0.5000 0.5000
0.5000 0.0000 0.5000
0.5000 0.5000 0.0000

=====

No. 3
In2ReBBr (PBE, relaxed); crystal system = tetragonal; formation energy without anion corrections = 2.05 eV/atom; electronic total energy = -3.20 eV/atom; DOS at the Fermi energy = 3.270 states/eV/cell
1.0
5.5528 0.0000 0.0000
0.0000 5.5528 0.0000
0.0000 0.0000 4.1079
In Re B Br
2 1 1 1
direct
0.0000 0.5000 0.0000
0.5000 0.0000 0.0000
0.0000 0.0000 0.5000
0.5000 0.5000 0.5000
0.5000 0.5000 0.0000

=====

No. 4
InRe2BBr (PBE, relaxed); crystal system = tetragonal; formation energy without anion corrections = 2.92 eV/atom; electronic total energy = -4.28 eV/atom; DOS at the Fermi energy = 5.391 states/eV/cell
1.0
4.5518 0.0000 0.0000
0.0000 4.5518 0.0000
0.0000 0.0000 5.8415
In Re B Br
1 2 1 1
direct
0.0000 0.0000 0.0000
0.0000 0.5000 0.5000
0.5000 0.0000 0.5000
0.5000 0.5000 0.0000
0.0000 0.0000 0.5000

=====

No. 5
InBSBr2 (PBE, relaxed); crystal system = tetragonal; formation energy without anion corrections = 0.94 eV/atom; electronic total energy = -2.44 eV/atom; DOS at the Fermi energy = 3.717 states/eV/cell
1.0
5.7624 0.0000 0.0000
0.0000 5.7624 0.0000
0.0000 0.0000 4.5220
In B S Br
1 1 1 2
direct
0.0000 0.0000 0.0000
0.0000 0.0000 0.5000
0.5000 0.5000 0.5000
0.0000 0.5000 0.0000
0.5000 0.0000 0.0000

=====

No. 6
InB2SBr (PBE, relaxed); crystal system = tetragonal; formation energy without anion corrections = 1.76 eV/atom; electronic total energy = -2.62 eV/atom; DOS at the Fermi energy = 3.608 states/eV/cell
1.0
4.5817 0.0000 0.0000
0.0000 4.5817 0.0000
0.0000 0.0000 5.4564
In B S Br
1 2 1 1
direct
0.0000 0.0000 0.0000
0.0000 0.5000 0.0000
0.5000 0.0000 0.0000
0.5000 0.5000 0.5000
0.0000 0.0000 0.5000

=====

No. 7
TaInBBr2 (PBE, relaxed); crystal system = tetragonal; formation energy without anion corrections = 0.97 eV/atom; electronic total energy = -3.95 eV/atom; DOS at the Fermi energy = 3.928 states/eV/cell
1.0
4.8840 0.0000 0.0000
0.0000 4.8840 0.0000
0.0000 0.0000 4.6321
Ta In B Br
1 1 1 2
direct
0.0000 0.0000 0.0000
0.5000 0.5000 0.0000
0.0000 0.0000 0.5000
0.0000 0.5000 0.5000
0.5000 0.0000 0.5000

=====

No. 8
Ta2InBBr (PBE, relaxed); crystal system = tetragonal; formation energy without anion corrections = 2.93 eV/atom; electronic total energy = -4.02 eV/atom; DOS at the Fermi energy = 11.140 states/eV/cell
1.0
5.2367 0.0000 0.0000
0.0000 5.2367 0.0000
0.0000 0.0000 5.2136
Ta In B Br
2 1 1 1
direct
0.0000 0.5000 0.0000
0.5000 0.0000 0.0000
0.0000 0.0000 0.0000
0.5000 0.5000 0.5000
0.0000 0.0000 0.5000

=====

No. 9
BIrBr (PBE, relaxed); crystal system = orthorhombic; formation energy without anion corrections = -0.16 eV/atom; electronic total energy = -5.90 eV/atom; DOS at the Fermi energy = 4.575 states/eV/cell
1.0
9.4403 0.0000 0.0000
0.0000 5.2760 0.0000
0.0000 0.0000 5.3349
B Ir Br
4 4 4
direct
0.1154 0.0355 0.2500
0.1154 0.4645 0.7500
0.8846 0.5355 0.2500
0.8846 0.9645 0.7500
0.0170 0.7500 0.0000
0.0170 0.7500 0.5000
0.9830 0.2500 0.0000
0.9830 0.2500 0.5000
0.3208 0.0162 0.2500
0.3208 0.4838 0.7500
0.6792 0.5162 0.2500
0.6792 0.9838 0.7500

=====

No. 10
B2IrBr (PBE, relaxed); crystal system = cubic; polymorph energy (0 for the lowest one) = 130.1 kJ/mol of atoms; formation energy without anion corrections = 1.98 eV/atom; electronic total energy = -4.00 eV/atom; DOS at the Fermi energy = 3.582 states/eV/cell
1.0
0.0000 2.8903 2.8903
2.8903 0.0000 2.8903
2.8903 2.8903 0.0000
B Ir Br
2 1 1
direct
0.2500 0.2500 0.2500
0.7500 0.7500 0.7500
0.0000 0.0000 0.0000
0.5000 0.5000 0.5000

=====

No. 11
B2IrBr (PBE, relaxed); crystal system = tetragonal; polymorph energy (0 for the lowest one) = 0.0 kJ/mol of atoms; formation energy without anion corrections = 0.63 eV/atom; electronic total energy = -5.35 eV/atom; DOS at the Fermi energy = 2.125 states/eV/cell
1.0
-2.5707 2.5707 5.1377
2.5707 -2.5707 5.1377
2.5707 2.5707 -5.1377
B Ir Br
4 2 2
direct
0.0393 0.6250 0.9143
0.3750 0.2893 0.4143
0.7107 0.1250 0.0857
0.8750 0.9607 0.5857
0.0000 0.0000 0.0000
0.7500 0.2500 0.5000
0.2500 0.7500 0.5000
0.5000 0.5000 0.0000

=====

No. 12
BIr2BrN (PBE, relaxed); crystal system = tetragonal; formation energy without anion corrections = 2.94 eV/atom; electronic total energy = -3.94 eV/atom; DOS at the Fermi energy = 4.068 states/eV/cell
1.0
4.7213 0.0000 0.0000
0.0000 4.7213 0.0000
0.0000 0.0000 3.5927
B Ir Br N
1 2 1 1
direct
0.0000 0.0000 0.0000
0.0000 0.5000 0.5000
0.5000 0.0000 0.5000
0.5000 0.5000 0.5000
0.5000 0.5000 0.0000